#i
Compound: Ba2Tl2Sb
Source: the Alexandria database
Functional: PBE
Structure: relaxed

Cell: 4.410 4.410 10.876 Å, 78.30 78.30 90.00°
Fractional positions:
Tl1 0.250 0.750 0.500
Tl2 0.750 0.250 0.500
Ba1 0.589 0.589 0.823
Sb1 0.000 0.000 0.000
Ba2 0.411 0.411 0.177

Computed properties:
D(E_F) (states/eV/f.u.): 4.43
Volume (Å³/atom): 40.5

#ii
Compound: Ba2Tl2Sb
Source: the Alexandria database
Functional: PBE
Structure: relaxed

Cell: 8.458 8.458 5.317 Å, 90.00 90.00 90.00°
Fractional positions:
Ba1 0.325 0.175 0.500
Ba2 0.675 0.825 0.500
Tl1 0.370 0.870 0.000
Sb1 0.000 0.000 0.000
Tl2 0.870 0.630 0.000
Ba3 0.175 0.675 0.500
Tl3 0.630 0.130 0.000
Ba4 0.825 0.325 0.500
Sb2 0.500 0.500 0.000
Tl4 0.130 0.370 0.000

Computed properties:
D(E_F) (states/eV/f.u.): 5.50
Volume (Å³/atom): 38.0

#iii
Compound: Ba2Tl2Sb
Source: the Alexandria database
Functional: PBE
Structure: relaxed

Cell: 6.878 6.878 6.601 Å, 58.60 58.60 90.00°
Fractional positions:
Tl1 0.658 0.658 0.683
Ba1 0.250 0.750 0.500
Tl2 0.342 0.342 0.317
Ba2 0.750 0.250 0.500
Sb1 0.000 0.000 0.000

Computed properties:
D(E_F) (states/eV/f.u.): 4.66
Volume (Å³/atom): 42.2

#iv
Compound: Ba2Tl2Sb
Source: the Alexandria database
Functional: PBE
Structure: relaxed

Cell: 9.817 9.817 4.293 Å, 90.00 90.00 90.00°
Fractional positions:
Tl1 0.613 0.887 0.500
Sb1 0.000 0.000 0.000
Ba1 0.811 0.689 0.000
Tl2 0.113 0.613 0.500
Ba2 0.689 0.189 0.000
Tl3 0.887 0.387 0.500
Ba3 0.311 0.811 0.000
Sb2 0.500 0.500 0.000
Ba4 0.189 0.311 0.000
Tl4 0.387 0.113 0.500

Computed properties:
D(E_F) (states/eV/f.u.): 4.99
Volume (Å³/atom): 41.4

Tell me which of them is the most stable. Sure, it is #i.

#i
Compound: BaTlSb3
Source: the Alexandria database
Functional: PBE
Structure: relaxed

Cell: 5.774 5.774 5.774 Å, 90.00 90.00 90.00°
Fractional positions:
Ba1 0.500 0.500 0.500
Sb1 0.000 0.500 0.000
Sb2 0.000 0.000 0.500
Sb3 0.500 0.000 0.000
Tl1 0.000 0.000 0.000

Computed properties:
D(E_F) (states/eV/f.u.): 7.15
Volume (Å³/atom): 38.5

#ii
Compound: BaTlSb3
Source: the Alexandria database
Functional: PBE
Structure: relaxed

Cell: 6.308 6.308 6.308 Å, 90.00 90.00 90.00°
Fractional positions:
Sb1 0.000 0.500 0.000
Sb2 0.000 0.000 0.500
Ba1 0.000 0.000 0.000
Tl1 0.500 0.500 0.500
Sb3 0.500 0.000 0.000

Computed properties:
D(E_F) (states/eV/f.u.): 4.40
Volume (Å³/atom): 50.2

Tell me which of them is the most stable. Sure, it is #i.

#i
Compound: BaTl3Sb3
Source: the Alexandria database
Functional: PBE
Structure: relaxed

Cell: 6.738 6.738 12.936 Å, 74.90 74.90 60.00°
Fractional positions:
Sb1 0.751 0.197 0.823
Sb2 0.197 0.228 0.823
Tl1 0.734 0.541 0.611
Tl2 0.266 0.459 0.389
Tl3 0.114 0.734 0.611
Tl4 0.541 0.114 0.611
Tl5 0.886 0.266 0.389
Sb3 0.228 0.751 0.823
Sb4 0.249 0.803 0.177
Ba1 0.308 0.308 0.075
Ba2 0.692 0.692 0.925
Sb5 0.803 0.772 0.177
Sb6 0.772 0.249 0.177
Tl6 0.459 0.886 0.389

Computed properties:
D(E_F) (states/eV/f.u.): 2.56
Volume (Å³/atom): 34.6

#ii
Compound: BaTl3Sb3
Source: the Alexandria database
Functional: PBE
Structure: relaxed

Cell: 8.368 8.368 8.368 Å, 90.00 90.00 90.00°
Fractional positions:
Sb1 0.000 0.500 0.750
Tl1 0.500 0.000 0.250
Tl2 0.500 0.000 0.750
Sb2 0.500 0.250 0.000
Tl3 0.000 0.250 0.500
Tl4 0.000 0.750 0.500
Sb3 0.250 0.000 0.500
Sb4 0.500 0.750 0.000
Ba1 0.000 0.000 0.000
Sb5 0.750 0.000 0.500
Tl5 0.750 0.500 0.000
Sb6 0.000 0.500 0.250
Tl6 0.250 0.500 0.000
Ba2 0.500 0.500 0.500

Computed properties:
D(E_F) (states/eV/f.u.): 4.83
Volume (Å³/atom): 41.9

Tell me which of them is the most stable. Sure, it is #i.

#i
Compound: BaTl4Sb
Source: the Alexandria database
Functional: PBE
Structure: relaxed

Cell: 6.584 6.584 6.584 Å, 60.00 60.00 60.00°
Fractional positions:
Sb1 0.000 0.000 0.000
Tl1 0.374 0.877 0.374
Tl2 0.877 0.374 0.374
Ba1 0.750 0.750 0.750
Tl3 0.374 0.374 0.374
Tl4 0.374 0.374 0.877

Computed properties:
D(E_F) (states/eV/f.u.): 5.15
Volume (Å³/atom): 33.6

#ii
Compound: BaTl4Sb
Source: the Alexandria database
Functional: PBE
Structure: relaxed

Cell: 4.532 8.779 10.394 Å, 90.00 90.00 90.00°
Fractional positions:
Ba1 0.000 0.346 0.250
Tl1 0.500 0.310 0.533
Tl2 0.000 0.000 0.500
Tl3 0.500 0.690 0.467
Ba2 0.000 0.654 0.750
Tl4 0.000 0.000 0.000
Tl5 0.500 0.989 0.750
Tl6 0.500 0.011 0.250
Sb1 0.000 0.739 0.250
Tl7 0.500 0.310 0.967
Tl8 0.500 0.690 0.033
Sb2 0.000 0.261 0.750

Computed properties:
D(E_F) (states/eV/f.u.): 2.83
Volume (Å³/atom): 34.5

Tell me which of them is the most stable. Sure, it is #ii.